# 1
# Nd2Sm12Y7 (PBE, optimized geometry)
data_Nd2Sm12Y7
_cell_length_a 15.1201
_cell_length_b 15.1201
_cell_length_c 3.5637
_cell_angle_alpha 90.00
_cell_angle_beta 90.00
_cell_angle_gamma 120.00
_symmetry_space_group_name_H-M 'P -6'
_symmetry_Int_Tables_number 174
loop_
_symmetry_equiv_pos_as_xyz
'x,y,z'
'-x+y,-x,-z'
'-y,x-y,z'
'x,y,-z'
'-x+y,-x,z'
'-y,x-y,-z'
loop_
_atom_site_label
_atom_site_type_symbol
_atom_site_fract_x
_atom_site_fract_y
_atom_site_fract_z
Nd1 Nd 0.0000 0.0000 0.0000
Nd2 Nd 0.3333 0.6667 0.5000
Sm1 Sm 0.0520 0.2558 0.5000
Sm2 Sm 0.1268 0.7143 0.0000
Sm3 Sm 0.4158 0.1489 0.0000
Sm4 Sm 0.4931 0.3946 0.5000
Y1 Y 0.0981 0.4799 0.0000
Y2 Y 0.2330 0.1861 0.5000
Y3 Y 0.6667 0.3333 0.0000
# E_tot	-110.5	eV per cell
# total magnetic moment	0.0	μB/cell
# crystal system	hexagonal
# formation energy from the elements	0.0419	eV/atom

***

# 2
# Y6ErMg2 (PBE, optimized geometry)
data_Y6ErMg2
_cell_length_a 12.709
_cell_length_b 3.750
_cell_length_c 11.997
_cell_angle_alpha 90.00
_cell_angle_beta 108.25
_cell_angle_gamma 90.00
_symmetry_space_group_name_H-M 'C 1 2/m 1'
_symmetry_Int_Tables_number 12
loop_
_symmetry_equiv_pos_as_xyz
'x,y,z'
'-x,-y,-z'
'-x,y,-z'
'x,-y,z'
'x+1/2,y+1/2,z'
'-x+1/2,-y+1/2,-z'
'-x+1/2,y+1/2,-z'
'x+1/2,-y+1/2,z'
loop_
_atom_site_label
_atom_site_type_symbol
_atom_site_fract_x
_atom_site_fract_y
_atom_site_fract_z
Y1 Y 0.017 0.000 0.340
Y2 Y 0.181 0.500 0.878
Y3 Y 0.186 0.500 0.584
Er1 Er 0.000 0.000 0.000
Mg1 Mg 0.149 0.500 0.208
# E_tot	-93.5	eV per cell
# total magnetic moment	0.0	μB/cell
# crystal system	monoclinic
# formation energy from the elements	-0.0260	eV/atom

***

# 3
# RbHg2Sb2 (PBE, optimized geometry)
data_RbHg2Sb2
_cell_length_a 4.972
_cell_length_b 4.972
_cell_length_c 12.902
_cell_angle_alpha 90.00
_cell_angle_beta 90.00
_cell_angle_gamma 90.00
_symmetry_space_group_name_H-M 'I 4/m m m'
_symmetry_Int_Tables_number 139
_symmetry_space_group_name_Hall '-I 4 2'
loop_
_atom_site_label
_atom_site_type_symbol
_atom_site_fract_x
_atom_site_fract_y
_atom_site_fract_z
Rb1 Rb 0.000 0.000 0.000
Hg1 Hg 0.000 0.000 0.391
Sb1 Sb 0.000 0.500 0.250
# E_tot	-21.1	eV per cell
# energy relative to the elements, uncorrected	-0.148	eV/atom
# total magnetic moment	0.0	μB/cell
# crystal system	tetragonal

***

# 4
# LiTcIr2 (PBE, optimized geometry)
data_LiTcIr2
_cell_length_a 7.166
_cell_length_b 7.166
_cell_length_c 5.143
_cell_angle_alpha 90.00
_cell_angle_beta 90.00
_cell_angle_gamma 90.00
_symmetry_space_group_name_H-M 'I -4 2 d'
_symmetry_Int_Tables_number 122
_symmetry_space_group_name_Hall 'I -4 2bw'
loop_
_atom_site_label
_atom_site_type_symbol
_atom_site_fract_x
_atom_site_fract_y
_atom_site_fract_z
Li1 Li 0.000 0.000 0.000
Tc1 Tc 0.000 0.000 0.500
Ir1 Ir 0.208 0.750 0.625
# E_tot	-112.1	eV per cell
# total magnetic moment	0.0	μB/cell
# crystal system	tetragonal
# formation energy from the elements	0.4928	eV/atom

***

# 5
# TbDySi (PBE, optimized geometry)
data_TbDySi
_cell_length_a 11.188
_cell_length_b 4.168
_cell_length_c 8.094
_cell_angle_alpha 90.00
_cell_angle_beta 125.55
_cell_angle_gamma 90.00
_symmetry_space_group_name_H-M 'C 1 2/m 1'
_symmetry_Int_Tables_number 12
loop_
_symmetry_equiv_pos_as_xyz
'x,y,z'
'-x,-y,-z'
'-x,y,-z'
'x,-y,z'
'x+1/2,y+1/2,z'
'-x+1/2,-y+1/2,-z'
'-x+1/2,y+1/2,-z'
'x+1/2,-y+1/2,z'
loop_
_atom_site_label
_atom_site_type_symbol
_atom_site_fract_x
_atom_site_fract_y
_atom_site_fract_z
Tb1 Tb 0.086 0.000 0.361
Dy1 Dy 0.174 0.500 0.076
Si1 Si 0.122 0.500 0.658
# E_tot	-64.9	eV per cell
# energy relative to the elements, uncorrected	-0.522	eV/atom
# total magnetic moment	0.0	μB/cell
# crystal system	monoclinic

***

# 6
# MnPdSCl2 (PBE, optimized geometry)
data_MnPdSCl2
_cell_length_a 4.674
_cell_length_b 4.674
_cell_length_c 4.776
_cell_angle_alpha 90.00
_cell_angle_beta 90.00
_cell_angle_gamma 90.00
_symmetry_space_group_name_H-M 'P 4/m m m'
_symmetry_Int_Tables_number 123
_symmetry_space_group_name_Hall '-P 4 2'
loop_
_atom_site_label
_atom_site_type_symbol
_atom_site_fract_x
_atom_site_fract_y
_atom_site_fract_z
Mn1 Mn 0.000 0.000 0.000
Pd1 Pd 0.500 0.500 0.500
S1 S 0.000 0.000 0.500
Cl1 Cl 0.000 0.500 0.000
# E_tot	-22.2	eV per cell
# energy relative to the elements, uncorrected	0.003	eV/atom
# total magnetic moment	3.0	μB/cell
# crystal system	tetragonal